# InCuW2

InCuW2 after structural relaxation (PBE, Alexandria).

The calculation puts the formation energy from the elements at 2.04 eV/f.u. For the density of states at the Fermi level, the calculation gives 0.6411 states/eV/atom.

It has space group Pmm2 (No. 25), with a = 2.7344 Å, b = 4.1970 Å, c = 5.8400 Å, α = 90.00°, β = 90.00° and γ = 90.00°. Symmetry generates all atoms from In at (0.0000, 0.0000, 0.0000), Cu at (0.5000, 0.5000, 0.7564), W at (0.0000, 0.0000, 0.5076) and W at (0.5000, 0.5000, 0.2918).